Entry 1:
# HoGa4Tc

A relaxed structure of HoGa4Tc (GGA-PBE, Alexandria).

Summary:
The calculation puts the distance to the lowest polymorph of the same formula at 0.000 eV/atom.

Cell lengths 5.3212, 6.6413, 7.6334 Å; angles 115.79, 110.00, 90.00 degrees
Sites, in units of the cell vectors:
Ga  0.3877  0.0883  0.7804
Ga  0.6123  0.3080  0.2196
Ga  0.0000  0.8207  0.0000
Ga  0.6123  0.9117  0.2196
Ga  0.1709  0.6771  0.3542
Ga  0.8291  0.3229  0.6458
Ga  0.0000  0.1793  0.0000
Ga  0.3877  0.6920  0.7804
Ho  0.7711  0.7806  0.5612
Ho  0.2289  0.2194  0.4388
Tc  0.2648  0.5005  0.0010
Tc  0.7352  0.4995  0.9990

Entry 2:
# BaZnNi

A relaxed structure of BaZnNi (GGA-PBE, Alexandria).

Summary:
Its total energy is -3.082 eV/atom.

Cell lengths 4.4888, 4.4888, 15.0038 Å; angles 90.00, 90.00, 90.00 degrees
Sites, in units of the cell vectors:
Ba  0.0000  0.5000  0.2125
Ba  0.0000  0.0000  0.9625
Ba  0.5000  0.0000  0.7125
Ba  0.5000  0.5000  0.4625
Zn  0.5000  0.0000  0.2942
Zn  0.0000  0.0000  0.5442
Zn  0.5000  0.5000  0.0442
Zn  0.0000  0.5000  0.7942
Ni  0.5000  0.5000  0.8772
Ni  0.0000  0.5000  0.6272
Ni  0.5000  0.0000  0.1272
Ni  0.0000  0.0000  0.3772

Entry 3:
# Tb4DyTl2

A relaxed structure of Tb4DyTl2 (GGA-PBE, Alexandria).

Summary:
The calculation puts the distance to the lowest polymorph of the same formula at 0.136 eV/atom.

Cell lengths 5.4933, 5.4933, 9.3706 Å; angles 72.96, 72.96, 60.00 degrees
Sites, in units of the cell vectors:
Dy  0.5000  0.5000  0.5000
Tl  0.3816  0.3816  0.8552
Tl  0.6184  0.6184  0.1448
Tb  0.7364  0.7364  0.7909
Tb  0.2636  0.2636  0.2091
Tb  0.8688  0.8688  0.3935
Tb  0.1312  0.1312  0.6065